Compound: Ac2ZnMoO6
Source: Alexandria via LeMat-Bulk
Functional: GGA+U
Structure: optimized geometry

Calculated values
E_tot   -7.159 eV/atom
SG   No. 14

a b c (Å): 5.819 5.880 8.159
angles (deg): 90.00 90.41 90.00
Last column: magnetic moment on the atom in μB.
Sites, in units of the cell vectors:
Ac: 0.011 0.958 0.248  0.01
Ac: 0.511 0.542 0.748  0.01
Ac: 0.989 0.042 0.752  0.01
Ac: 0.489 0.458 0.252  0.01
Zn: 0.500 0.000 0.500  0.00
Zn: 0.000 0.500 0.000  0.00
Mo: 0.500 0.000 0.000  1.79
Mo: 0.000 0.500 0.500  1.79
O: 0.299 0.720 0.043  0.01
O: 0.799 0.780 0.543  0.01
O: 0.701 0.280 0.957  0.01
O: 0.201 0.220 0.457  0.01
O: 0.292 0.711 0.456  0.03
O: 0.792 0.789 0.956  0.03
O: 0.708 0.289 0.544  0.03
O: 0.208 0.211 0.044  0.03
O: 0.918 0.519 0.256  0.01
O: 0.418 0.981 0.756  0.01
O: 0.082 0.481 0.744  0.01
O: 0.582 0.019 0.244  0.01